Record 1
VASP calculation (PBE) on a relaxed CsWSe2Br crystal.

ΔE_f (raw): -0.419 eV/atom
volume: 141.0 Å³/cell
offset from the most stable computed form: 0.000 eV per atom

Cell lengths 4.9829, 4.9829, 5.6777 Å; angles 90.00, 90.00, 90.00 degrees
Last column: nearest neighbours and their distance in Å.
Space group P4/mmm (No. 123)
One atom of each set of equivalent atoms:
Cs (0.0000, 0.0000, 0.0000)  4 Br 3.52, 8 Se 3.78
W (0.5000, 0.5000, 0.5000)  4 Se 2.49
Se (0.0000, 0.5000, 0.5000)  2 W 2.49
Br (0.5000, 0.5000, 0.0000)  2 W 2.84

=====

Record 2
VASP calculation (PBE) on a relaxed CsWSeBr2 crystal.

ΔE_f (raw): -0.422 eV/atom
volume: 155.4 Å³/cell

Cell lengths 5.6429, 5.6429, 4.8811 Å; angles 90.00, 90.00, 90.00 degrees
Last column: nearest neighbours and their distance in Å.
Space group P4/mmm (No. 123)
One atom of each set of equivalent atoms:
Cs (0.0000, 0.0000, 0.0000)  8 Br 3.73, 4 Se 3.99
W (0.5000, 0.5000, 0.5000)  2 Se 2.44
Se (0.5000, 0.5000, 0.0000)  2 W 2.44
Br (0.0000, 0.5000, 0.5000)  2 W 2.82

=====

Record 3
VASP calculation (PBE) on a relaxed CsWSe2Br crystal.

ΔE_f (raw): 1.866 eV/atom
volume: 205.8 Å³/cell
offset from the most stable computed form: 2.285 eV per atom

Cell lengths 5.6923, 5.6923, 6.3502 Å; angles 90.00, 90.00, 90.00 degrees
Last column: nearest neighbours and their distance in Å.
Space group P4/mmm (No. 123)
One atom of each set of equivalent atoms:
Cs (0.0000, 0.0000, 0.0000)  4 Se 2.85, 2 Br 3.18
W (0.5000, 0.5000, 0.5000)  4 Br 4.03, 8 Se 4.26
Se (0.0000, 0.5000, 0.0000)  2 Cs 2.85
Br (0.0000, 0.0000, 0.5000)  2 Cs 3.18

=====

Record 4
VASP calculation (PBE) on a relaxed Cs2ZnSeBr6 crystal.

ΔE_f (raw): -0.920 eV/atom
volume: 695.2 Å³/cell

Cell lengths 7.8618, 7.8618, 11.2478 Å; angles 90.00, 90.00, 90.00 degrees
Last column: nearest neighbours and their distance in Å.
Space group I4/mmm (No. 139)
One atom of each set of equivalent atoms:
Cs (0.0000, 0.5000, 0.2500)  12 Br 3.94-3.96
Zn (0.0000, 0.0000, 0.0000)  4 Br 2.55
Se (0.0000, 0.0000, 0.5000)  2 Br 2.58
Br (0.0000, 0.0000, 0.2711)  1 Se 2.58
Br (0.2289, 0.2289, 0.0000)  1 Zn 2.55

=====

Record 5
VASP calculation (PBE) on a relaxed CsZnSe2Br crystal.

ΔE_f (raw): -0.512 eV/atom
volume: 154.2 Å³/cell
offset from the most stable computed form: 0.000 eV per atom

Cell lengths 4.9820, 4.9820, 6.2120 Å; angles 90.00, 90.00, 90.00 degrees
Last column: nearest neighbours and their distance in Å.
Space group P4/mmm (No. 123)
One atom of each set of equivalent atoms:
Cs (0.0000, 0.0000, 0.0000)  4 Br 3.52
Zn (0.5000, 0.5000, 0.5000)  4 Se 2.49
Se (0.0000, 0.5000, 0.5000)  2 Zn 2.49
Br (0.5000, 0.5000, 0.0000)  2 Zn 3.11

=====

Record 6
VASP calculation (PBE) on a relaxed CsZnSe2Br crystal.

ΔE_f (raw): 0.729 eV/atom
volume: 233.7 Å³/cell
offset from the most stable computed form: 1.241 eV per atom

Cell lengths 5.9038, 5.9038, 6.7039 Å; angles 90.00, 90.00, 90.00 degrees
Last column: nearest neighbours and their distance in Å.
Space group P4/mmm (No. 123)
One atom of each set of equivalent atoms:
Cs (0.0000, 0.0000, 0.0000)  4 Se 2.95
Zn (0.5000, 0.5000, 0.5000)  4 Br 4.17, 8 Se 4.47
Se (0.0000, 0.5000, 0.0000)  2 Cs 2.95
Br (0.0000, 0.0000, 0.5000)  2 Cs 3.35

=====

Record 7
VASP calculation (PBE) on a relaxed CsZrSeBr2 crystal.

ΔE_f (raw): -1.324 eV/atom
volume: 161.0 Å³/cell

Cell lengths 5.5276, 5.5276, 5.2676 Å; angles 90.00, 90.00, 90.00 degrees
Last column: nearest neighbours and their distance in Å.
Space group P4/mmm (No. 123)
One atom of each set of equivalent atoms:
Cs (0.0000, 0.0000, 0.0000)  8 Br 3.82, 4 Se 3.91
Zr (0.5000, 0.5000, 0.5000)  2 Se 2.63, 4 Br 2.76
Se (0.5000, 0.5000, 0.0000)  2 Zr 2.63
Br (0.0000, 0.5000, 0.5000)  2 Zr 2.76

=====

Record 8
VASP calculation (PBE) on a relaxed CsZrSe2Br crystal.

ΔE_f (raw): -1.306 eV/atom
volume: 157.6 Å³/cell
offset from the most stable computed form: 0.000 eV per atom

Cell lengths 5.3004, 5.3004, 5.6091 Å; angles 90.00, 90.00, 90.00 degrees
Last column: nearest neighbours and their distance in Å.
Space group P4/mmm (No. 123)
One atom of each set of equivalent atoms:
Cs (0.0000, 0.0000, 0.0000)  4 Br 3.75, 8 Se 3.86
Zr (0.5000, 0.5000, 0.5000)  4 Se 2.65, 2 Br 2.80
Se (0.0000, 0.5000, 0.5000)  2 Zr 2.65
Br (0.5000, 0.5000, 0.0000)  2 Zr 2.80

=====

Question: The lowest volume belongs to which entry?
Answer: number 1